1.
The following is a PBE-GGA calculation of BaMgMnV2 after structural relaxation, from the Alexandria database.

Output
SG: P4/mmm
Calculated formation energy: 1054 kJ/mol of formula units
Magnetization: 0.974 μB per atom
Calculated total energy: -4.000 eV/atom

Lattice parameters (Å, degrees): 4.8835 5.0579 4.8835 90.00 90.00 90.00
With the nearest neighbours (Å) after each atom.
Positions (direct):
V: 0.5000 0.0000 0.0000  2 Ba 2.44
V: 0.0000 0.0000 0.5000  2 Ba 2.44
Ba: 0.0000 0.0000 0.0000  4 V 2.44, 2 Mn 2.53
Mg: 0.5000 0.5000 0.5000  4 Mn 3.45, 8 V 3.52
Mn: 0.0000 0.5000 0.0000  2 Ba 2.53

---

2.
The following is a PBE-GGA calculation of Ba2YMgMn after structural relaxation, from the Alexandria database.

Output
SG: P4/mmm
Calculated formation energy: 260 kJ/mol of formula units
Magnetization: 0.000 μB per atom
Calculated total energy: -3.677 eV/atom

Lattice parameters (Å, degrees): 5.8882 5.2412 5.8882 90.00 90.00 90.00
With the nearest neighbours (Å) after each atom.
Positions (direct):
Mg: 0.5000 0.5000 0.5000  8 Ba 3.94, 4 Y 4.16
Ba: 0.0000 0.0000 0.5000  2 Mn 2.94
Ba: 0.5000 0.0000 0.0000  2 Mn 2.94
Y: 0.0000 0.5000 0.0000  2 Mn 2.62
Mn: 0.0000 0.0000 0.0000  2 Y 2.62

---

3.
The following is a PBE-GGA calculation of Ba2MgMo after structural relaxation, from the Alexandria database.

Output
SG: R-3m
Calculated formation energy: 362 kJ/mol of formula units
Magnetization: 0.317 μB per atom
Calculated total energy: -3.130 eV/atom

Lattice parameters (Å, degrees): 11.5643 11.5643 11.5643 18.38 18.38 18.38
With the nearest neighbours (Å) after each atom.
Positions (direct):
Ba: 0.0102 0.0102 0.0102  3 Mo 3.28
Ba: 0.4898 0.4898 0.4898  3 Mo 3.28
Mo: 0.7500 0.7500 0.7500  6 Ba 3.28
Mg: 0.2500 0.2500 0.2500  6 Mg 3.69, 6 Ba 3.84

---

4.
The following is a PBE-GGA calculation of Ba2MgMo after structural relaxation, from the Alexandria database.

Output
SG: Amm2
Calculated formation energy: 289 kJ/mol of formula units
Magnetization: 0.572 μB per atom
Calculated total energy: -3.318 eV/atom

Lattice parameters (Å, degrees): 5.1996 4.1249 7.2049 73.42 90.00 90.00
With the nearest neighbours (Å) after each atom.
Positions (direct):
Ba: 0.5000 0.2722 0.3293  2 Mo 3.40, 4 Mg 3.58
Ba: 0.0000 0.9750 0.9254  2 Mg 3.45, 4 Mo 3.60-3.61
Mg: 0.0000 0.6750 0.5245  2 Mo 2.93
Mo: 0.5000 0.5778 0.7208  2 Mg 2.93